Compound: Rb3PuP2O8
Source: Alexandria via LeMat-Bulk
Functional: PBE-GGA
Structure: optimized geometry

Cell and atoms, written as POSCAR:
```
Rb3PuP2O8
1.0
-3.285 4.807 0.723
0.794 -3.710 4.475
6.689 4.224 2.315
O Rb P Pu
8 3 2 1
Direct
0.667 0.333 0.917
0.623 0.812 0.334
0.812 0.623 0.666
0.812 0.188 0.666
0.188 0.377 0.334
0.333 0.667 0.083
0.377 0.188 0.666
0.188 0.812 0.334
0.333 0.667 0.750
0.000 0.000 0.000
0.667 0.333 0.250
0.667 0.333 0.732
0.333 0.667 0.268
0.000 0.000 0.500
```

Magnetic moment = 5.00 μB per cell
Uncorrected formation energy = -3264.5 kJ/mol of formula units